This record from Alexandria describes an optimized crystal structure of LiMnBO3. The functional is PBE+U.

Cell lengths 5.7700, 7.7420, 6.5788 Å; angles 90.00, 74.44, 90.00 degrees
Closest atoms and distances in Å follow each position.
Fractional coordinates of all 24 atoms:
O1 0.5460 0.7027 0.4192  1 B 1.40
O2 0.9540 0.2027 0.0808  1 B 1.40
O3 0.0580 0.5340 0.7131  1 B 1.38
O4 0.2992 0.2971 0.1886  1 B 1.39
O5 0.5580 0.9660 0.2131  1 B 1.38
O6 0.4420 0.0340 0.7869  1 B 1.38
O7 0.7008 0.7029 0.8114  1 B 1.39
O8 0.2008 0.7971 0.3114  1 B 1.39
O9 0.9420 0.4660 0.2869  1 B 1.38
O10 0.0460 0.7973 0.9192  1 B 1.40
O11 0.4539 0.2973 0.5808  1 B 1.40
O12 0.7992 0.2029 0.6886  1 B 1.39
Mn1 0.7224 0.4868 0.5996  5 O 2.11-2.35
Mn2 0.2224 0.0132 0.0996  5 O 2.11-2.35
Mn3 0.7776 0.9868 0.9004  5 O 2.11-2.35
Mn4 0.2776 0.5132 0.4004  5 O 2.11-2.35
Li1 0.0866 0.2900 0.7681  4 O 1.94-2.15
Li2 0.9134 0.7100 0.2319  4 O 1.94-2.15
Li3 0.4134 0.7900 0.7319  4 O 1.94-2.15
Li4 0.5866 0.2100 0.2681  4 O 1.94-2.15
B1 0.5625 0.1765 0.6833  3 O 1.38-1.40
B2 0.0625 0.3235 0.1833  3 O 1.38-1.40
B3 0.9375 0.6765 0.8167  3 O 1.38-1.40
B4 0.4375 0.8235 0.3167  3 O 1.38-1.40

N(E_F): 0.000 states/eV per atom
DFT total energy: -173.43 eV for the cell shown
offset from the most stable computed form: 95 meV per atom
total moment: 5.0 μB/f.u.